# 1
Tm3Si2Ge2Au4: optimized geometry, PBE.

Calculated values
The calculation puts the electronic total energy at -53.76 eV for the cell shown. The space group is No. 71.

Lattice parameters (Å, degrees): 8.269 8.269 8.269 150.16 130.22 59.13
Sites, in units of the cell vectors:
Tm 0.625 0.125 0.500
Ge 0.313 0.500 0.813
Tm 0.375 0.875 0.500
Au 0.969 0.672 0.297
Au 0.625 0.328 0.297
Si 0.784 0.784 0.000
Ge 0.687 0.500 0.187
Au 0.031 0.328 0.703
Si 0.216 0.216 0.000
Au 0.375 0.672 0.703
Tm 0.000 0.000 0.000

# 2
CsYHg: optimized geometry, PBE.

Calculated values
Its distance to the lowest polymorph of the same formula is 0 meV per atom. The space group is No. 216.

Lattice parameters (Å, degrees): 5.665 5.665 5.665 60.00 60.00 60.00
Sites, in units of the cell vectors:
Hg 0.000 0.000 0.000
Cs 0.250 0.250 0.250
Y 0.750 0.750 0.750

# 3
CdSnTeO: optimized geometry, PBE.

Calculated values
Its distance to the lowest polymorph of the same formula is 627 meV per atom. The space group is No. 129.

Lattice parameters (Å, degrees): 4.171 4.171 10.793 90.00 90.00 90.00
Sites, in units of the cell vectors:
O 0.750 0.750 0.566
Te 0.250 0.250 0.248
Sn 0.750 0.250 0.000
Cd 0.750 0.750 0.367
Sn 0.250 0.750 0.000
O 0.250 0.250 0.434
Te 0.750 0.750 0.752
Cd 0.250 0.250 0.633